Record 1
{
  "formula": "KSr2LiAu",
  "functional": "PBE",
  "state": "relaxed",
  "magmom_total_mub_per_fu": 0.00,
  "spacegroup": "No. 123",
  "dft_energy_ry_per_atom": -0.158,
  "de_polymorph_ev_per_atom": 0.000,
  "dos_ef_per_ev_cell": 4.134,
  "lattice_angstrom": [[6.216, 0.000, 0.000], [0.000, 6.216, 0.000], [0.000, 0.000, 5.434]],
  "species": ["K", "Sr", "Sr", "Li", "Au"],
  "frac_coords": [[0.000, 0.000, 0.000], [0.000, 0.500, 0.500], [0.500, 0.000, 0.500], [0.500, 0.500, 0.000], [0.500, 0.500, 0.500]]
}

***

Record 2
{
  "formula": "KSr2LiAu",
  "functional": "PBE",
  "state": "relaxed",
  "magmom_total_mub_per_fu": 0.00,
  "spacegroup": "No. 123",
  "dft_energy_ry_per_atom": -0.152,
  "de_polymorph_ev_per_atom": 0.083,
  "dos_ef_per_ev_cell": 3.084,
  "lattice_angstrom": [[6.112, 0.000, 0.000], [0.000, 6.112, 0.000], [0.000, 0.000, 6.328]],
  "species": ["K", "Sr", "Sr", "Li", "Au"],
  "frac_coords": [[0.000, 0.000, 0.000], [0.000, 0.500, 0.500], [0.500, 0.000, 0.500], [0.500, 0.500, 0.000], [0.000, 0.000, 0.500]]
}

***

Record 3
{
  "formula": "KLiTe2Au",
  "functional": "PBE",
  "state": "relaxed",
  "magmom_total_mub_per_fu": 0.00,
  "spacegroup": "No. 67",
  "dft_energy_ry_per_atom": -0.229,
  "raw_formation_energy_ev_per_atom": -0.595,
  "dos_ef_per_ev_cell": 1.945,
  "lattice_angstrom": [[4.062, -6.378, 0.000], [4.062, 6.378, 0.000], [0.000, 0.000, 6.611]],
  "species": ["K", "K", "Li", "Li", "Te", "Te", "Te", "Te", "Au", "Au"],
  "frac_coords": [[0.250, 0.750, 0.797], [0.750, 0.250, 0.203], [0.250, 0.250, 0.500], [0.750, 0.750, 0.500], [0.116, 0.884, 0.323], [0.384, 0.616, 0.323], [0.616, 0.384, 0.677], [0.884, 0.116, 0.677], [0.000, 0.000, 0.000], [0.500, 0.500, 0.000]]
}

***

Q: Which formula does entry 2 have?
A: KSr2LiAu